(1)
A plane-wave DFT calculation with PBE was carried out for an optimized crystal structure of PmSi2MoOs.

The raw formation energy comes out at -2.6 eV/f.u. As for the crystal system: tetragonal.

The space group is I-4m2 (No. 119) and the conventional cell measures 4.131, 4.131 and 10.463 Å, with angles of 90.00, 90.00 and 90.00 degrees. Symmetry generates all atoms from Pm at (0.000, 0.000, 0.000), Si at (0.000, 0.000, 0.380), Mo at (0.000, 0.500, 0.750) and Os at (0.000, 0.500, 0.250).



(2)
A plane-wave DFT calculation with PBE was carried out for an optimized crystal structure of Pm2NdCu2.

The value obtained for the calculated formation energy is -6 kJ per mole of atoms. The excess energy over the best structure of this formula in the dataset comes out at 28.5 meV per atom. As for the crystal system: monoclinic.

The space group is P2_1/m (No. 11) and the conventional cell measures 5.050, 4.735 and 11.151 Å, with angles of 90.00, 97.96 and 90.00 degrees. Symmetry generates all atoms from Pm at (0.151, 0.250, 0.116), Pm at (0.254, 0.750, 0.509), Nd at (0.308, 0.250, 0.756), Cu at (0.208, 0.250, 0.364) and Cu at (0.387, 0.750, 0.997).



(3)
A plane-wave DFT calculation with PBE was carried out for an optimized crystal structure of Nd3YCd4.

The value obtained for the calculated formation energy is -31 kJ per mole of atoms. As for the crystal system: trigonal.

The space group is R-3m (No. 166, hexagonal axes) and the conventional cell measures 5.4140, 5.4140 and 26.6111 Å, with angles of 90.00, 90.00 and 120.00 degrees. Symmetry generates all atoms from Nd at (0.0000, 0.0000, 0.0000), Nd at (0.0000, 0.0000, 0.2494), Y at (0.0000, 0.0000, 0.5000), Cd at (0.0000, 0.0000, 0.1264) and Cd at (0.0000, 0.0000, 0.3765).